## MgCrPb3 (GGA-PBE)

Data for MgCrPb3 after structural relaxation.

The structure in POSCAR format:
```
MgCrPb3
1.0
-4.3681 1.6458 2.3924
-2.5710 -0.1833 -4.5682
-1.3497 -4.9769 0.9593
Pb Cr Mg
3 1 1
Direct
0.0000 0.5000 0.0000
0.0000 0.0000 0.5000
0.5000 0.0000 0.0000
0.0000 0.0000 0.0000
0.5000 0.5000 0.5000
```

Computed properties:
Calculated formation energy: 0.435 eV per atom
Energy above the most stable polymorph in this dataset: 0.000 eV per atom